# 1
Entry from the Alexandria database: a relaxed Tb5MgCo crystal (GGA-PBE).

E_form in eV per atom: 0.017
Magnetic moment in μB per formula unit: 0.00

abc: 5.8925 5.8925 11.8829
angles: 76.91 76.91 79.07
Positions (direct):
Tb1 0.9744 0.0256 0.2500
Tb2 0.4562 0.8007 0.9285
Tb3 0.8007 0.4562 0.4285
Tb4 0.5438 0.1993 0.0715
Tb5 0.3971 0.0840 0.3801
Tb6 0.0840 0.3971 0.8801
Tb7 0.0256 0.9744 0.7500
Tb8 0.9160 0.6029 0.1199
Mg1 0.3858 0.6142 0.2500
Tb9 0.1993 0.5438 0.5715
Tb10 0.6029 0.9160 0.6199
Mg2 0.6142 0.3858 0.7500
Co1 0.0000 0.0000 0.5000
Co2 0.0000 0.0000 0.0000

***

# 2
Entry from the Alexandria database: a relaxed EuGdHoTm crystal (GGA-PBE).

E_form in eV per atom: 0.149
Magnetic moment in μB per formula unit: 0.69

abc: 5.7142 5.7142 5.7142
angles: 60.00 60.00 60.00
Each line ends with the local moment (μB).
Positions (direct):
Eu1 0.5000 0.5000 0.5000  6.84
Ho1 0.7500 0.7500 0.7500  -0.07
Gd1 0.0000 0.0000 0.0000  -7.28
Tm1 0.2500 0.2500 0.2500  -0.08

***

# 3
Entry from the Alexandria database: a relaxed Zr2MnFeSb crystal (GGA-PBE).

Magnetic moment in μB per formula unit: 5.98
E_form (uncorrected) in eV per formula unit: 5.2

abc: 5.3280 4.6197 5.3280
angles: 90.00 90.00 90.00
Each line ends with the local moment (μB).
Positions (direct):
Fe1 0.0000 0.5000 0.0000  2.54
Sb1 0.0000 0.0000 0.0000  -0.01
Mn1 0.5000 0.5000 0.5000  4.19
Zr1 0.5000 0.0000 0.0000  -0.27
Zr2 0.0000 0.0000 0.5000  -0.27

***

What calculated total energy values result from the calculations? In sequence: -4.5333; -8.2019; -6.7374 eV/atom.